Compound: RbLiZrF6
Source: the Alexandria database
Functional: GGA-PBE
Structure: optimized geometry

Results
Calculated total energy (eV/atom): -5.908
M_tot (μB/f.u.): 0.1

a b c (Å): 5.5491 5.5491 12.1019
angles (deg): 90.00 90.00 120.00
Space group P-31c (No. 163)
Inequivalent atoms, fractional coordinates:
Rb 0.0000 0.0000 0.0000 x2
Li 0.3333 0.6667 0.2500 x2
Zr 0.3333 0.6667 0.7500 x2
F 0.0063 0.3902 0.6550 x12